The following is a DFT calculation (GGA-PBE) of a relaxed Hf2ReI crystal.

Cell: 6.032 6.032 8.079 Å, 68.08 68.08 90.00°
Sites, in units of the cell vectors:
Re 0.000 0.000 0.000
Hf 0.709 0.125 0.250
Re 0.750 0.250 0.500
I 0.500 0.500 0.000
I 0.250 0.750 0.500
Hf 0.375 0.291 0.750
Hf 0.041 0.625 0.250
Hf 0.875 0.959 0.750

Properties
E above lowest polymorph = 396.0 meV/atom



The following is a DFT calculation (GGA-PBE) of a relaxed Ba5Hg crystal.

Cell: 6.358 6.148 8.549 Å, 111.08 90.00 90.00°
Sites, in units of the cell vectors:
Ba 0.500 0.846 0.693
Ba 0.500 0.500 0.000
Hg 0.000 0.000 0.000
Ba 0.500 0.154 0.307
Ba 0.000 0.357 0.714
Ba 0.000 0.643 0.286

Properties
E above lowest polymorph = 106.9 meV/atom



The following is a DFT calculation (GGA-PBE) of a relaxed LiZnF2 crystal.

Cell: 4.914 4.914 5.658 Å, 64.26 64.26 90.00°
Sites, in units of the cell vectors:
F 0.375 0.426 0.750
F 0.875 0.824 0.750
F 0.574 0.125 0.250
Li 0.250 0.750 0.500
Zn 0.000 0.000 0.000
Li 0.500 0.500 0.000
F 0.176 0.625 0.250
Zn 0.750 0.250 0.500

Properties
E above lowest polymorph = 72.6 meV/atom



The following is a DFT calculation (GGA-PBE) of a relaxed Tb3Sm6Er2Tm crystal.

Cell: 6.206 6.206 11.799 Å, 95.01 95.01 119.98°
Sites, in units of the cell vectors:
Sm 0.917 0.584 0.752
Sm 0.250 0.250 0.752
Tb 0.167 0.833 0.500
Sm 0.750 0.750 0.248
Tm 0.000 0.000 0.000
Tb 0.500 0.500 0.500
Er 0.333 0.667 0.000
Sm 0.584 0.917 0.752
Tb 0.833 0.167 0.500
Er 0.667 0.333 0.000
Sm 0.083 0.416 0.248
Sm 0.416 0.083 0.248



Computed values of theoretical density (unit: g/cm³) for the preceding records, in sequence: 8.9; 4.7; 3.4; 8.1.
Computed values of final energy (unit: eV/atom) for the preceding records, in sequence: -7.60; -1.71; -3.75; -4.64.